4
Lattice="-1.3141 -2.9197 4.0652 3.6280 -2.6642 2.5528 1.3866 1.4371 4.7739" Properties=species:S:1:pos:R:3 comment="MgZnBi2 | Alexandria via LeMat-Bulk | SCAN | PBEsol geometry" final_energy_ev_per_cell=-175.018 rho_g_cm3=8.60 vol_a3_per_fu=98 e_form_ev_per_atom=0.1576 pbc="T T T"
Mg 0.0000 0.0000 0.0000
Zn 1.8502 -2.0734 5.6960
Bi 0.9251 -1.0367 2.8480
Bi 2.7753 -3.1101 8.5440

5
Lattice="5.3364 0.0000 0.0000 0.0000 5.3364 0.0000 0.0000 0.0000 5.3364" Properties=species:S:1:pos:R:3 comment="MgZrBi3 | Alexandria via LeMat-Bulk | SCAN | PBEsol geometry" final_energy_ev_per_cell=-267.813 rho_g_cm3=8.11 vol_a3_per_fu=152 e_form_ev_per_atom=0.7197 pbc="T T T"
Mg 0.0000 0.0000 0.0000
Bi 0.0000 2.6682 0.0000
Bi 0.0000 0.0000 2.6682
Bi 2.6682 0.0000 0.0000
Zr 2.6682 2.6682 2.6682

5
Lattice="5.0095 0.0000 0.0000 0.0000 5.0095 0.0000 0.0000 0.0000 5.0095" Properties=species:S:1:pos:R:3 comment="MgZr3Bi | Alexandria via LeMat-Bulk | SCAN | PBEsol geometry" final_energy_ev_per_cell=-171.896 rho_g_cm3=6.70 vol_a3_per_fu=126 e_form_ev_per_atom=0.7508 pbc="T T T"
Mg 0.0000 0.0000 0.0000
Bi 2.5047 2.5047 2.5047
Zr 0.0000 2.5047 0.0000
Zr 0.0000 0.0000 2.5047
Zr 2.5047 0.0000 0.0000